A plane-wave DFT calculation with PBE was carried out for a relaxed structure of KMo2Au.

Results
calculated density = 9.00 Mg/m³
energy above the most stable polymorph in this dataset = 728.1 meV per atom
DFT formation energy = 1237 meV/atom

Unit cell a=3.8803 b=3.8803 c=5.2450 alpha=90.00 beta=90.00 gamma=90.00
Sites, in units of the cell vectors:
1 Au 0.5000 0.0000 0.5000
2 K 0.0000 0.5000 0.5000
3 Mo 0.0000 0.0000 0.0000
4 Mo 0.5000 0.5000 0.0000